{"formula": "Si5Te", "functional": "GGA-PBE", "state": "relaxed", "total_magnetization_mub_per_cell": 0.00, "total_energy_ev_per_cell": -26.72, "vol_a3_per_cell": 107, "raw_formation_energy_ev_per_fu": 3.54, "de_polymorph_mev_per_atom": 219, "lattice": [[5.494, 0.000, 0.000], [-2.747, 4.758, 0.000], [0.000, 0.000, 4.087]], "species": ["Si", "Si", "Si", "Si", "Si", "Te"], "frac_coords": [[0.000, 0.500, 0.000], [0.333, 0.667, 0.500], [0.500, 0.000, 0.000], [0.500, 0.500, 0.000], [0.667, 0.333, 0.500], [0.000, 0.000, 0.500]]}



{"formula": "Si5Te", "functional": "GGA-PBE", "state": "relaxed", "total_magnetization_mub_per_cell": 0.00, "total_energy_ev_per_cell": -26.30, "vol_a3_per_cell": 104, "raw_formation_energy_ev_per_fu": 3.96, "de_polymorph_mev_per_atom": 289, "lattice": [[0.000, 3.735, 3.735], [3.735, 0.000, 3.735], [3.735, 3.735, 0.000]], "species": ["Si", "Si", "Si", "Si", "Si", "Te"], "frac_coords": [[0.000, 0.000, 0.000], [0.374, 0.374, 0.374], [0.374, 0.374, 0.878], [0.374, 0.878, 0.374], [0.878, 0.374, 0.374], [0.750, 0.750, 0.750]]}



{"formula": "Si5Te3", "functional": "GGA-PBE", "state": "relaxed", "total_magnetization_mub_per_cell": 0.00, "total_energy_ev_per_cell": -31.29, "vol_a3_per_cell": 168, "raw_formation_energy_ev_per_fu": 5.25, "de_polymorph_mev_per_atom": 256, "lattice": [[3.637, -4.692, 0.000], [3.637, 4.692, 0.000], [0.000, 0.000, 4.931]], "species": ["Si", "Si", "Si", "Si", "Si", "Te", "Te", "Te"], "frac_coords": [[0.000, 0.000, 0.000], [0.000, 0.500, 0.000], [0.257, 0.257, 0.500], [0.500, 0.000, 0.000], [0.743, 0.743, 0.500], [0.215, 0.785, 0.500], [0.500, 0.500, 0.000], [0.785, 0.215, 0.500]]}



{"formula": "Si4Te", "functional": "GGA-PBE", "state": "relaxed", "total_magnetization_mub_per_cell": 0.00, "total_energy_ev_per_cell": -22.27, "vol_a3_per_cell": 89, "raw_formation_energy_ev_per_fu": 2.57, "de_polymorph_mev_per_atom": 197, "lattice": [[-3.799, 3.799, 1.550], [3.799, -3.799, 1.550], [3.799, 3.799, -1.550]], "species": ["Si", "Si", "Si", "Si", "Te"], "frac_coords": [[0.135, 0.344, 0.478], [0.344, 0.865, 0.209], [0.656, 0.135, 0.791], [0.865, 0.656, 0.522], [0.000, 0.000, 0.000]]}



{"formula": "Si3Te2", "functional": "GGA-PBE", "state": "relaxed", "total_magnetization_mub_per_cell": 0.00, "total_energy_ev_per_cell": -19.57, "vol_a3_per_cell": 128, "raw_formation_energy_ev_per_fu": 2.98, "de_polymorph_mev_per_atom": 422, "lattice": [[4.973, 0.000, 0.000], [-2.487, 4.307, 0.000], [0.000, 0.000, 5.975]], "species": ["Si", "Si", "Si", "Te", "Te"], "frac_coords": [[0.000, 0.000, 0.000], [0.333, 0.667, 0.199], [0.667, 0.333, 0.801], [0.333, 0.667, 0.759], [0.667, 0.333, 0.241]]}



{"formula": "Si5Te7", "functional": "GGA-PBE", "state": "relaxed", "total_magnetization_mub_per_cell": 0.00, "total_energy_ev_per_cell": -44.69, "vol_a3_per_cell": 431, "raw_formation_energy_ev_per_fu": 4.42, "lattice": [[-5.785, 5.785, 3.220], [5.785, -5.785, 3.220], [5.785, 5.785, -3.220]], "species": ["Si", "Si", "Si", "Si", "Si", "Te", "Te", "Te", "Te", "Te", "Te", "Te"], "frac_coords": [[0.000, 0.000, 0.000], [0.243, 0.243, 0.290], [0.243, 0.953, 0.000], [0.953, 0.243, 0.000], [0.953, 0.953, 0.710], [0.122, 0.367, 0.755], [0.261, 0.761, 0.500], [0.367, 0.122, 0.755], [0.367, 0.612, 0.245], [0.605, 0.605, 0.000], [0.612, 0.367, 0.245], [0.761, 0.261, 0.500]]}